# CsCrOs3 (SCAN, single point on PBEsol structure)
# Electronic total energy in eV/atom: -50.288
# Energy relative to the elements in eV per atom: 4.08
data_CsCrOs3
_chemical_formula_sum 'Cs1 Cr1 Os3'
_symmetry_space_group_name_H-M 'P m -3 m'
_symmetry_Int_Tables_number 221
_symmetry_space_group_name_Hall '-P 4 2 3'
_cell_length_a 4.8538
_cell_length_b 4.8538
_cell_length_c 4.8538
_cell_angle_alpha 90.00
_cell_angle_beta 90.00
_cell_angle_gamma 90.00
loop_
_atom_site_label
_atom_site_type_symbol
_atom_site_fract_x
_atom_site_fract_y
_atom_site_fract_z
_atom_site_occupancy
Cs1 Cs 0.0000 0.0000 0.0000 1
Cr1 Cr 0.5000 0.5000 0.5000 1
Os1 Os 0.0000 0.0000 0.5000 1